[1]
DFT (PBE) results for an optimized crystal structure of NaZnBiCl6.

Properties
* space group: P-31c (163)
* ΔE_f (raw): -1.196 eV/atom
* density of states at the Fermi level: 0.0 states/eV/f.u.
* energy: -3.147 eV per atom

abc: 6.733 6.733 12.537
angles: 90.00 90.00 120.00
Atoms (fractional coordinates):
Cl1 0.342 0.370 0.867
Bi1 0.333 0.667 0.250
Cl2 0.658 0.630 0.133
Na1 0.000 0.000 0.500
Cl3 0.658 0.027 0.367
Zn1 0.667 0.333 0.250
Cl4 0.973 0.342 0.133
Cl5 0.027 0.658 0.867
Cl6 0.370 0.027 0.133
Cl7 0.973 0.630 0.367
Cl8 0.342 0.973 0.633
Na2 0.000 0.000 0.000
Cl9 0.630 0.658 0.633
Zn2 0.333 0.667 0.750
Bi2 0.667 0.333 0.750
Cl10 0.027 0.370 0.633
Cl11 0.630 0.973 0.867
Cl12 0.370 0.342 0.367

=====

[2]
DFT (PBE) results for an optimized crystal structure of Pm3SmPa2P6.

Properties
* space group: C2/m (12)
* density of states at the Fermi level: 8.6 states/eV/f.u.
* energy: -7.365 eV per atom
* E_form: -1732 kJ/mol of formula units

abc: 7.037 7.037 7.044
angles: 99.57 99.57 120.00
Atoms (fractional coordinates):
Sm1 0.000 0.000 0.000
Pm1 0.500 0.500 0.500
P1 0.920 0.578 0.762
Pa1 0.667 0.333 0.000
Pm2 0.165 0.835 0.500
P2 0.737 0.737 0.239
P3 0.422 0.080 0.238
P4 0.263 0.263 0.761
P5 0.080 0.422 0.238
P6 0.578 0.920 0.762
Pa2 0.333 0.667 0.000
Pm3 0.835 0.165 0.500

=====

[3]
DFT (PBE) results for an optimized crystal structure of AcPuTe6.

Properties
* space group: Amm2 (38)
* ΔE_f (raw): -0.878 eV/atom
* density of states at the Fermi level: 12.2 states/eV/f.u.
* energy: -5.539 eV per atom

abc: 4.440 4.440 13.948
angles: 90.00 99.16 90.00
Each line ends with the local moment (μB).
Atoms (fractional coordinates):
Te1 0.712 0.000 0.423  -0.04
Ac1 0.172 0.500 0.345  -0.01
Te2 0.919 0.500 0.838  -0.06
Te3 0.300 0.500 0.600  -0.15
Te4 0.419 0.000 0.838  -0.06
Te5 0.574 0.500 0.148  0.00
Pu1 0.830 0.000 0.660  5.12
Te6 0.074 0.000 0.148  0.00

=====

[4]
DFT (PBE) results for an optimized crystal structure of Co2HgPt2.

Properties
* space group: P4/mbm (127)
* offset from the most stable computed form: 0 meV/atom
* density of states at the Fermi level: 5.3 states/eV/f.u.
* energy: -5.192 eV per atom
* E_form: 61 kJ/mol of formula units

abc: 7.446 7.446 2.776
angles: 90.00 90.00 90.00
Each line ends with the local moment (μB).
Atoms (fractional coordinates):
Co1 0.617 0.117 0.000  1.90
Hg1 0.000 0.000 0.000  0.01
Co2 0.383 0.883 0.000  1.90
Pt1 0.673 0.827 0.500  0.39
Pt2 0.327 0.173 0.500  0.39
Pt3 0.827 0.327 0.500  0.39
Pt4 0.173 0.673 0.500  0.39
Co3 0.883 0.617 0.000  1.97
Co4 0.117 0.383 0.000  1.97
Hg2 0.500 0.500 0.000  0.01

=====

[5]
DFT (PBE) results for an optimized crystal structure of Ce2H2Ru.

Properties
* space group: Fddd (70)
* density of states at the Fermi level: 5.8 states/eV/f.u.
* energy: -5.914 eV per atom

abc: 5.865 5.865 6.079
angles: 110.70 110.70 105.46
Each line ends with the local moment (μB).
Atoms (fractional coordinates):
Ce1 0.402 0.598 0.250  0.19
Ce2 0.847 0.153 0.250  0.19
H1 0.484 0.734 0.967  0.00
Ru1 0.125 0.875 0.250  -0.05
H2 0.734 0.484 0.467  0.00
H3 0.516 0.266 0.033  0.00
Ce3 0.598 0.402 0.750  0.19
H4 0.266 0.516 0.533  0.00
Ru2 0.875 0.125 0.750  -0.05
Ce4 0.153 0.847 0.750  0.19

=====

[6]
DFT (PBE) results for an optimized crystal structure of Pr2Tm2Sn2C.

Properties
* space group: I4/mmm (139)
* density of states at the Fermi level: 0.4 states/eV/f.u.
* energy: -5.832 eV per atom
* E_form: -492 kJ/mol of formula units

abc: 4.788 4.788 8.946
angles: 105.52 105.52 90.00
Atoms (fractional coordinates):
Pr1 0.161 0.161 0.322
Pr2 0.839 0.839 0.678
Tm1 0.000 0.500 0.000
Sn1 0.366 0.366 0.732
C1 0.000 0.000 0.000
Tm2 0.500 0.000 0.000
Sn2 0.634 0.634 0.268